KRb3Ni2F9, relaxed, DFT PBE with a Hubbard U; symmetry = P-3m1 (164); E = -4.13 eV/atom
1.0
6.044 0.000 0.000
-3.022 5.234 0.000
0.000 0.000 7.682
K Rb Ni F
1 3 2 9
direct
0.000 0.000 0.000
0.000 0.000 0.500
0.333 0.667 0.170
0.667 0.333 0.830
0.333 0.667 0.646
0.667 0.333 0.354
0.000 0.500 0.500
0.183 0.366 0.791
0.183 0.817 0.791
0.366 0.183 0.209
0.500 0.000 0.500
0.500 0.500 0.500
0.634 0.817 0.791
0.817 0.183 0.209
0.817 0.634 0.209